Record 1
MgCd2Ru | PBE-GGA | optimized geometry

Unit cell a=5.129 b=5.129 c=3.003 alpha=90.00 beta=90.00 gamma=111.49
Fractional positions:
Mg 0.000 0.000 0.000
Cd 0.000 0.500 0.500
Cd 0.500 0.000 0.500
Ru 0.500 0.500 0.000

- size of the total moment (μB/f.u.) = 1.18
- total energy (eV per atom) = -3.0218
- energy of formation (eV/atom) = 0.153

***

Record 2
MgCdRu2 | PBE-GGA | optimized geometry

Unit cell a=2.892 b=2.892 c=8.055 alpha=90.00 beta=90.00 gamma=90.00
Fractional positions:
Mg 0.000 0.000 0.000
Cd 0.500 0.500 0.692
Ru 0.000 0.000 0.431
Ru 0.500 0.500 0.236

- size of the total moment (μB/f.u.) = 0.00
- total energy (eV per atom) = -5.2422
- energy of formation (eV/atom) = 0.023